20
Lattice="3.179 0.000 0.000 0.000 9.990 0.000 0.000 0.000 9.990" Properties=species:S:1:pos:R:3 comment="PBE-GGA Pm2MnAl2Ni5, relaxed" total_energy_ev_per_atom=-5.7314 space_group=P4/mbm mass_density_g_cm3=7.25 vol_a3_per_atom=15.86 pbc="T T T"
Ni 1.589 8.039 9.472
Ni 1.589 4.995 0.000
Ni 1.589 5.513 6.946
Ni 1.589 0.000 4.995
Ni 1.589 4.477 3.044
Ni 1.589 9.472 1.951
Ni 1.589 1.951 0.518
Ni 1.589 6.946 4.477
Ni 1.589 0.518 8.039
Ni 1.589 3.044 5.513
Al 0.000 1.246 6.241
Al 0.000 6.241 8.744
Al 0.000 3.749 1.246
Al 0.000 8.744 3.749
Pm 0.000 6.747 1.752
Pm 0.000 1.752 3.243
Pm 0.000 8.238 6.747
Pm 0.000 3.243 8.238
Mn 0.000 0.000 0.000
Mn 0.000 4.995 4.995



4
Lattice="-1.689 -3.381 -4.209 0.621 -4.504 3.366 -3.429 0.347 1.098" Properties=species:S:1:pos:R:3 comment="PBE-GGA Sr2TlRe, relaxed" relative_energy_ev_per_atom=0.133 space_group=P4/mmm mass_density_g_cm3=8.12 vol_a3_per_atom=28.94 pbc="T T T"
Sr -0.534 -3.942 -0.422
Sr 0.000 0.000 0.000
Re -1.404 -2.078 2.232
Tl -2.559 -1.517 -1.556



5
Lattice="-3.560 -0.149 3.054 -3.202 -1.744 -3.819 1.116 -4.427 1.086" Properties=species:S:1:pos:R:3 comment="PBE-GGA LaZrBe2Al, relaxed" total_energy_ev_per_atom=-3.3760 space_group=P4/mmm mass_density_g_cm3=3.93 vol_a3_per_atom=23.26 pbc="T T T"
Zr -2.823 -3.160 0.160
Al -1.601 -0.872 -1.909
Be -1.780 -0.074 1.527
Be 0.558 -2.214 0.543
La 0.000 0.000 0.000